Record 1
The following is a GGA-PBE calculation of a relaxed Cs2InHBr6 crystal, from Alexandria.

Cell lengths 7.366, 7.366, 7.955 Å; angles 62.42, 62.42, 90.00 degrees
Fractional coordinates of all 10 atoms:
Cs (0.250, 0.750, 0.500)
Cs (0.750, 0.250, 0.500)
Br (0.780, 0.780, 0.441)
Br (0.268, 0.732, 0.000)
Br (0.732, 0.732, 0.000)
Br (0.732, 0.268, 0.000)
Br (0.268, 0.268, 0.000)
Br (0.220, 0.220, 0.559)
H (0.500, 0.500, 0.000)
In (0.000, 0.000, 0.000)

Density of states at the Fermi level = 0.05 states/eV/f.u.
Calculated total energy = -2.666 eV per atom
SG = I4/mmm
Magnetic moment = 0.0 μB per formula unit

Record 2
The following is a GGA-PBE calculation of a relaxed FeTc2Ru crystal, from Alexandria.

Cell lengths 4.646, 4.646, 4.646 Å; angles 132.02, 132.02, 70.19 degrees
Fractional coordinates of all 4 atoms:
Tc (0.500, 0.500, 0.000)
Tc (0.000, 0.000, 0.000)
Fe (0.250, 0.750, 0.500)
Ru (0.750, 0.250, 0.500)

Density of states at the Fermi level = 3.97 states/eV/f.u.
E_form = 0.079 eV per atom
SG = I4/mmm
Magnetic moment = 0.8 μB per formula unit
ΔE to the lowest computed polymorph = 73 meV per atom

Record 3
The following is a GGA-PBE calculation of a relaxed YCl5 crystal, from Alexandria.

Cell lengths 7.699, 7.699, 7.795 Å; angles 109.35, 109.35, 29.65 degrees
Fractional coordinates of all 6 atoms:
Y (0.199, 0.199, 0.059)
Cl (0.976, 0.976, 0.885)
Cl (0.374, 0.374, 0.211)
Cl (0.945, 0.945, 0.613)
Cl (0.685, 0.685, 0.819)
Cl (0.654, 0.654, 0.247)

Density of states at the Fermi level = 0.00 states/eV/f.u.
SG = Cm
Magnetic moment = 0.0 μB per formula unit
ΔE to the lowest computed polymorph = 47 meV per atom

Record 4
The following is a GGA-PBE calculation of a relaxed Ce2P3RuRh4 crystal, from Alexandria.

Cell lengths 3.931, 3.931, 10.810 Å; angles 90.00, 90.00, 90.00 degrees
Fractional coordinates of all 10 atoms:
Ce (0.000, 0.500, 0.737)
Ce (0.500, 0.000, 0.263)
Rh (0.000, 0.500, 0.334)
Rh (0.500, 0.000, 0.666)
Rh (0.000, 0.000, 0.000)
Rh (0.500, 0.500, 0.000)
P (0.000, 0.000, 0.500)
P (0.000, 0.500, 0.124)
P (0.500, 0.000, 0.876)
Ru (0.500, 0.500, 0.500)

Density of states at the Fermi level = 9.21 states/eV/f.u.
E_form = -0.880 eV per atom
SG = P-4m2
Magnetic moment = 0.0 μB per formula unit

Record 5
The following is a GGA-PBE calculation of a relaxed Ac5PaIr4 crystal, from Alexandria.

Cell lengths 4.285, 8.337, 9.559 Å; angles 104.26, 102.95, 90.00 degrees
Fractional coordinates of all 10 atoms:
Pa (0.500, 0.000, 0.000)
Ir (0.003, 0.772, 0.006)
Ir (0.659, 0.086, 0.317)
Ir (0.997, 0.228, 0.994)
Ir (0.341, 0.914, 0.683)
Ac (0.169, 0.846, 0.338)
Ac (0.842, 0.677, 0.683)
Ac (0.158, 0.323, 0.317)
Ac (0.831, 0.154, 0.662)
Ac (0.500, 0.500, 0.000)

Density of states at the Fermi level = 6.06 states/eV/f.u.
E_form = -0.638 eV per atom
SG = C2/m
Magnetic moment = 0.0 μB per formula unit

Record 6
The following is a GGA-PBE calculation of a relaxed LiScPb crystal, from Alexandria.

Cell lengths 6.921, 6.921, 4.670 Å; angles 90.00, 90.00, 141.32 degrees
Fractional coordinates of all 6 atoms:
Pb (0.405, 0.595, 0.750)
Pb (0.595, 0.405, 0.250)
Sc (0.247, 0.753, 0.250)
Sc (0.753, 0.247, 0.750)
Li (0.934, 0.066, 0.250)
Li (0.066, 0.934, 0.750)

Density of states at the Fermi level = 2.54 states/eV/f.u.
E_form = -0.189 eV per atom
SG = Cmcm
Magnetic moment = 0.5 μB per formula unit

Record 7
The following is a GGA-PBE calculation of a relaxed Ac2CeP3Rh4 crystal, from Alexandria.

Cell lengths 4.195, 4.195, 11.126 Å; angles 90.00, 90.00, 90.00 degrees
Fractional coordinates of all 10 atoms:
Rh (0.000, 0.500, 0.340)
Rh (0.000, 0.000, 0.000)
Rh (0.500, 0.000, 0.660)
Rh (0.500, 0.500, 0.000)
P (0.000, 0.500, 0.120)
P (0.000, 0.000, 0.500)
P (0.500, 0.000, 0.880)
Ac (0.500, 0.000, 0.229)
Ac (0.000, 0.500, 0.771)
Ce (0.500, 0.500, 0.500)

Density of states at the Fermi level = 10.11 states/eV/f.u.
E_form = -0.990 eV per atom
SG = P-4m2
Magnetic moment = 0.6 μB per formula unit

Record 8
The following is a GGA-PBE calculation of a relaxed CuMoAu4 crystal, from Alexandria.

Cell lengths 5.439, 5.439, 5.439 Å; angles 60.00, 60.00, 60.00 degrees
Fractional coordinates of all 6 atoms:
Au (0.375, 0.375, 0.874)
Au (0.375, 0.375, 0.375)
Au (0.874, 0.375, 0.375)
Au (0.375, 0.874, 0.375)
Cu (0.750, 0.750, 0.750)
Mo (0.000, 0.000, 0.000)

Density of states at the Fermi level = 3.07 states/eV/f.u.
E_form = 0.561 eV per atom
SG = F-43m
Magnetic moment = 3.9 μB per formula unit